Entry from Alexandria: KTi2Be after structural relaxation (PBE).

Symmetry   No. 122

Lattice parameters (Å, degrees): 4.240 4.240 10.475 78.32 78.32 90.00
Sites, in units of the cell vectors:
Be (0.500, 0.500, 0.000)
Be (0.250, 0.750, 0.500)
K (0.750, 0.250, 0.500)
K (0.000, 0.000, 0.000)
Ti (0.498, 0.625, 0.250)
Ti (0.875, 0.502, 0.750)
Ti (0.252, 0.125, 0.250)
Ti (0.375, 0.748, 0.750)

Entry from Alexandria: K2TiBe after structural relaxation (PBE).

Symmetry   No. 122

Lattice parameters (Å, degrees): 12.353 12.353 9.066 47.06 47.06 90.00
Sites, in units of the cell vectors:
Be (0.500, 0.500, 0.000)
Be (0.250, 0.750, 0.500)
K (0.375, 0.537, 0.750)
K (0.287, 0.625, 0.250)
K (0.463, 0.125, 0.250)
K (0.875, 0.713, 0.750)
Ti (0.750, 0.250, 0.500)
Ti (0.000, 0.000, 0.000)

Summary of E in eV for the cell shown
-31.06, -18.49
(order as listed above)